Below is a relaxed structure of Re2Tc, with properties calculated at the PBE level.

Geometry as extended XYZ:
```
6
Lattice="-1.666 1.863 -1.247 -3.434 -1.987 4.748 2.085 3.991 3.178" Properties=species:S:1:pos:R:3 pbc="T T T"
Re 0.704 4.016 1.932
Tc -1.252 -0.170 1.418
Re -3.601 0.077 4.926
Re -3.735 0.267 2.261
Re -0.259 1.727 2.925
Tc -2.638 2.363 3.927
```

Calculated values
Magnetic moment ... 0.000 μB/atom
Electronic total energy ... -11.48 eV/atom
Relative energy among the computed polymorphs ... 0.275 eV per atom
Density ... 16.84 g/cm3
Formation enthalpy at 0 K ... 271 meV/atom